No. 1
This record from Alexandria via LeMat-Bulk describes crystalline Fe9Co4Ni11 at its relaxed geometry. The functional is GGA-PBE.

Properties
Space group: Cmmm (65)
Energy of formation from the pure elements: 0.0165 eV/atom

Lattice parameters (Å, degrees): 10.992 10.992 2.495 90.00 90.00 115.08
Sites, in units of the cell vectors:
Fe: 0.000 0.000 0.000
Fe: 0.106 0.676 0.000
Fe: 0.297 0.487 0.000
Fe: 0.324 0.894 0.000
Fe: 0.487 0.297 0.000
Fe: 0.513 0.703 0.000
Fe: 0.676 0.106 0.000
Fe: 0.703 0.513 0.000
Fe: 0.894 0.324 0.000
Co: 0.087 0.261 0.000
Co: 0.261 0.087 0.000
Co: 0.739 0.913 0.000
Co: 0.913 0.739 0.000
Ni: 0.099 0.471 0.500
Ni: 0.119 0.881 0.500
Ni: 0.289 0.289 0.500
Ni: 0.310 0.690 0.500
Ni: 0.471 0.099 0.500
Ni: 0.500 0.500 0.500
Ni: 0.529 0.901 0.500
Ni: 0.690 0.310 0.500
Ni: 0.711 0.711 0.500
Ni: 0.881 0.119 0.500
Ni: 0.901 0.529 0.500



No. 2
This record from Alexandria via LeMat-Bulk describes crystalline Mn3Nb2Pt at its relaxed geometry. The functional is GGA-PBE.

Properties
Space group: R-3m (166)
Energy of formation from the pure elements: -0.2462 eV/atom

Lattice parameters (Å, degrees): 5.082 5.082 5.082 56.21 56.21 56.21
Sites, in units of the cell vectors:
Mn: 0.000 0.500 0.500
Mn: 0.500 0.000 0.500
Mn: 0.500 0.500 0.000
Nb: 0.117 0.117 0.117
Nb: 0.883 0.883 0.883
Pt: 0.500 0.500 0.500



No. 3
This record from Alexandria via LeMat-Bulk describes crystalline B2H5Cl2 at its relaxed geometry. The functional is GGA-PBE.

Properties
Total energy: -3.83 eV/atom
Space group: Ima2 (46)

Lattice parameters (Å, degrees): 11.019 11.019 11.019 46.24 138.82 159.89
Sites, in units of the cell vectors:
B: 0.000 0.000 0.000
B: 0.000 0.500 0.500
B: 0.167 0.071 0.596
B: 0.475 0.571 0.404
H: 0.134 0.239 0.890
H: 0.134 0.745 0.395
H: 0.206 0.092 0.718
H: 0.206 0.988 0.614
H: 0.349 0.245 0.110
H: 0.349 0.739 0.605
H: 0.374 0.488 0.282
H: 0.374 0.592 0.386
H: 0.470 0.416 0.555
H: 0.861 0.916 0.445
Cl: 0.756 0.193 0.410
Cl: 0.756 0.845 0.062
Cl: 0.783 0.345 0.590
Cl: 0.783 0.693 0.938



No. 4
This record from Alexandria via LeMat-Bulk describes crystalline HPdSe at its relaxed geometry. The functional is GGA-PBE.

Properties
Energy relative to the lowest polymorph listed for this composition: 0.0670 eV/atom
Space group: P2_1/m (11)

Lattice parameters (Å, degrees): 5.410 2.931 5.925 90.00 117.15 90.00
Sites, in units of the cell vectors:
H: 0.035 0.250 0.085
H: 0.965 0.750 0.915
Pd: 0.137 0.750 0.275
Pd: 0.863 0.250 0.725
Se: 0.349 0.250 0.696
Se: 0.651 0.750 0.304



No. 5
This record from Alexandria via LeMat-Bulk describes crystalline Y2BeCd at its relaxed geometry. The functional is GGA-PBE.

Properties
Energy relative to the lowest polymorph listed for this composition: 0.0763 eV/atom
Space group: Fm-3m (225)
Energy of formation from the pure elements: -0.0635 eV/atom

Lattice parameters (Å, degrees): 5.107 5.107 5.107 60.00 60.00 60.00
Sites, in units of the cell vectors:
Y: 0.250 0.250 0.250
Y: 0.750 0.750 0.750
Be: 0.000 0.000 0.000
Cd: 0.500 0.500 0.500



No. 6
This record from Alexandria via LeMat-Bulk describes crystalline K2RbMoBr6 at its relaxed geometry. The functional is GGA-PBE.

Properties
Formation energy (no corrections): -1208 kJ/mol of formula units
Energy relative to the lowest polymorph listed for this composition: 0.0000 eV/atom
Space group: P2_1/c (14)

Lattice parameters (Å, degrees): 7.810 8.243 13.559 90.00 123.29 90.00
Sites, in units of the cell vectors:
K: 0.211 0.087 0.242
K: 0.211 0.413 0.742
K: 0.789 0.587 0.258
K: 0.789 0.913 0.758
Rb: 0.500 0.000 0.000
Rb: 0.500 0.500 0.500
Mo: 0.000 0.000 0.500
Mo: 0.000 0.500 0.000
Br: 0.082 0.228 0.932
Br: 0.082 0.272 0.432
Br: 0.207 0.664 0.933
Br: 0.207 0.836 0.433
Br: 0.337 0.039 0.710
Br: 0.337 0.461 0.210
Br: 0.663 0.539 0.790
Br: 0.663 0.961 0.290
Br: 0.793 0.164 0.567
Br: 0.793 0.336 0.067
Br: 0.918 0.728 0.568
Br: 0.918 0.772 0.068



No. 7
This record from Alexandria via LeMat-Bulk describes crystalline SrTlNiRh2 at its relaxed geometry. The functional is GGA-PBE.

Properties
Space group: P4/mmm (123)
Energy of formation from the pure elements: 0.4797 eV/atom

Lattice parameters (Å, degrees): 4.688 4.688 5.172 90.00 90.00 90.00
Sites, in units of the cell vectors:
Sr: 0.000 0.000 0.000
Tl: 0.500 0.500 0.000
Ni: 0.000 0.000 0.500
Rh: 0.000 0.500 0.500
Rh: 0.500 0.000 0.500



No. 8
This record from Alexandria via LeMat-Bulk describes crystalline ScSb3Se6 at its relaxed geometry. The functional is GGA-PBE.

Properties
Formation energy (no corrections): -368 kJ/mol of formula units
Space group: Cmmm (65)

Lattice parameters (Å, degrees): 8.701 8.701 3.952 90.00 90.00 107.55
Sites, in units of the cell vectors:
Sc: 0.000 0.000 0.000
Sb: 0.000 0.500 0.500
Sb: 0.500 0.000 0.500
Sb: 0.500 0.500 0.000
Se: 0.143 0.857 0.500
Se: 0.165 0.382 0.000
Se: 0.382 0.165 0.000
Se: 0.618 0.835 0.000
Se: 0.835 0.618 0.000
Se: 0.857 0.143 0.500



No. 9
This record from Alexandria via LeMat-Bulk describes crystalline SrCa2NdIn4 at its relaxed geometry. The functional is GGA-PBE.

Properties
Space group: R-3m (166)
Energy of formation from the pure elements: -0.4580 eV/atom

Lattice parameters (Å, degrees): 9.596 9.596 9.596 33.51 33.51 33.51
Sites, in units of the cell vectors:
Sr: 0.000 0.000 0.000
Ca: 0.251 0.251 0.251
Ca: 0.749 0.749 0.749
Nd: 0.500 0.500 0.500
In: 0.126 0.126 0.126
In: 0.378 0.378 0.378
In: 0.622 0.622 0.622
In: 0.874 0.874 0.874



No. 10
This record from Alexandria via LeMat-Bulk describes crystalline Mg4TaPb at its relaxed geometry. The functional is GGA-PBE.

Properties
Space group: F-43m (216)
Energy of formation from the pure elements: 0.4602 eV/atom

Lattice parameters (Å, degrees): 5.728 5.728 5.728 60.00 60.00 60.00
Sites, in units of the cell vectors:
Mg: 0.376 0.376 0.376
Mg: 0.376 0.376 0.872
Mg: 0.376 0.872 0.376
Mg: 0.872 0.376 0.376
Ta: 0.750 0.750 0.750
Pb: 0.000 0.000 0.000



No. 11
This record from Alexandria via LeMat-Bulk describes crystalline LaPb3Se at its relaxed geometry. The functional is GGA-PBE.

Properties
Formation energy (no corrections): 375 kJ/mol of formula units
Energy relative to the lowest polymorph listed for this composition: 0.7527 eV/atom
Space group: Pm-3m (221)

Lattice parameters (Å, degrees): 6.126 6.126 6.126 90.00 90.00 90.00
Sites, in units of the cell vectors:
La: 0.000 0.000 0.000
Pb: 0.000 0.000 0.500
Pb: 0.000 0.500 0.000
Pb: 0.500 0.000 0.000
Se: 0.500 0.500 0.500



No. 12
This record from Alexandria via LeMat-Bulk describes crystalline Tb2Dy2Sb3 at its relaxed geometry. The functional is GGA-PBE.

Properties
Formation energy (no corrections): -577 kJ/mol of formula units
Energy relative to the lowest polymorph listed for this composition: 0.1469 eV/atom
Space group: P-1 (2)

Lattice parameters (Å, degrees): 4.358 7.375 7.396 81.09 89.96 72.87
Sites, in units of the cell vectors:
Tb: 0.124 0.252 0.367
Tb: 0.876 0.748 0.633
Dy: 0.379 0.741 0.117
Dy: 0.621 0.259 0.883
Sb: 0.244 0.013 0.752
Sb: 0.500 0.500 0.500
Sb: 0.756 0.987 0.248